Compound: ScNiSb2F
Source: Alexandria via LeMat-Bulk
Functional: PBE with a Hubbard U
Structure: optimized geometry

CIF file:
```
data_ScNiSb2F
_chemical_formula_sum 'Sc1 Ni1 Sb2 F1'
_cell_length_a 5.0423
_cell_length_b 4.0482
_cell_length_c 5.0423
_cell_angle_alpha 90.00
_cell_angle_beta 90.00
_cell_angle_gamma 90.00
_space_group_name_H-M_alt 'P 1'
_space_group_IT_number 1
_space_group_name_Hall 'P 1'
loop_
_atom_site_label
_atom_site_type_symbol
_atom_site_fract_x
_atom_site_fract_y
_atom_site_fract_z
_atom_site_occupancy
Sc1 Sc 0.0000 0.5000 0.0000 1
Sb1 Sb 0.0000 0.0000 0.5000 1
Sb2 Sb 0.5000 0.0000 0.0000 1
F1 F 0.0000 0.0000 0.0000 1
Ni1 Ni 0.5000 0.5000 0.5000 1
```

Electronic total energy ... -3.91 eV per atom
Size of the total moment ... 0.00 μB per cell
Fermi-level density of states ... 3.7 states/eV/f.u.